1.
PuAlIn after structural relaxation. Source: the Alexandria database, functional PBE-GGA.

POSCAR file:
```
PuAlIn
1.0
-1.661 1.661 6.283
1.661 -1.661 6.283
1.661 1.661 -6.283
Pu Al In
1 1 1
direct
0.000 0.000 0.000 Pu
0.663 0.663 0.000 Al
0.310 0.310 0.000 In
```

Values from the calculation:
Magnetic moment = 1.979 μB/atom
DFT formation energy = -0.091 eV per atom



2.
PuP3Pd10 after structural relaxation. Source: the Alexandria database, functional PBE-GGA.

POSCAR file:
```
PuP3Pd10
1.0
0.000 6.114 6.114
6.114 0.000 6.114
6.114 6.114 0.000
Pu P Pd
2 6 20
direct
0.250 0.250 0.250 Pu
0.750 0.750 0.750 Pu
0.240 0.240 0.760 P
0.240 0.760 0.240 P
0.240 0.760 0.760 P
0.760 0.240 0.240 P
0.760 0.240 0.760 P
0.760 0.760 0.240 P
0.114 0.114 0.114 Pd
0.114 0.114 0.657 Pd
0.114 0.657 0.114 Pd
0.155 0.500 0.500 Pd
0.155 0.500 0.845 Pd
0.155 0.845 0.500 Pd
0.343 0.886 0.886 Pd
0.500 0.155 0.500 Pd
0.500 0.155 0.845 Pd
0.500 0.500 0.155 Pd
0.500 0.500 0.845 Pd
0.500 0.845 0.155 Pd
0.500 0.845 0.500 Pd
0.657 0.114 0.114 Pd
0.845 0.155 0.500 Pd
0.845 0.500 0.155 Pd
0.845 0.500 0.500 Pd
0.886 0.343 0.886 Pd
0.886 0.886 0.343 Pd
0.886 0.886 0.886 Pd
```

Values from the calculation:
Magnetic moment = 0.374 μB/atom
DFT formation energy = -0.521 eV per atom



3.
Hg2TePt after structural relaxation. Source: the Alexandria database, functional PBE-GGA.

POSCAR file:
```
Hg2TePt
1.0
2.878 -3.993 0.000
2.878 3.993 0.000
0.000 0.000 4.253
Hg Te Pt
2 1 1
direct
0.221 0.779 0.000 Hg
0.779 0.221 0.000 Hg
0.500 0.500 0.500 Te
0.000 0.000 0.500 Pt
```

Values from the calculation:
Magnetic moment = 0.000 μB/atom
Raw formation energy = 82 meV per atom



4.
Sc2CuPb after structural relaxation. Source: the Alexandria database, functional PBE-GGA.

POSCAR file:
```
Sc2CuPb
1.0
0.000 3.492 3.492
3.492 0.000 3.492
3.492 3.492 0.000
Sc Cu Pb
2 1 1
direct
0.000 0.000 0.000 Sc
0.250 0.250 0.250 Sc
0.500 0.500 0.500 Cu
0.750 0.750 0.750 Pb
```

Values from the calculation:
Magnetic moment = 0.579 μB/atom
DFT formation energy = 0.123 eV per atom



5.
RbTlInTe3 after structural relaxation. Source: the Alexandria database, functional PBE-GGA.

POSCAR file:
```
RbTlInTe3
1.0
9.427 0.000 0.000
0.000 4.768 0.000
-3.457 0.000 10.539
Rb Tl In Te
2 2 2 6
direct
0.249 0.250 0.240 Rb
0.751 0.750 0.760 Rb
0.169 0.750 0.576 Tl
0.831 0.250 0.424 Tl
0.368 0.250 0.848 In
0.632 0.750 0.152 In
0.025 0.250 0.705 Te
0.310 0.750 0.977 Te
0.426 0.250 0.614 Te
0.574 0.750 0.386 Te
0.690 0.250 0.023 Te
0.975 0.750 0.295 Te
```

Values from the calculation:
Magnetic moment = 0.000 μB/atom
Raw formation energy = -440 meV per atom



6.
Tl3CdPb after structural relaxation. Source: the Alexandria database, functional PBE-GGA.

POSCAR file:
```
Tl3CdPb
1.0
4.547 0.000 0.000
2.271 5.738 0.000
0.034 0.389 11.288
Tl Cd Pb
6 2 2
direct
0.146 0.208 0.045 Tl
0.245 0.012 0.759 Tl
0.348 0.802 0.446 Tl
0.652 0.198 0.554 Tl
0.755 0.988 0.241 Tl
0.854 0.792 0.955 Tl
0.458 0.586 0.148 Cd
0.542 0.414 0.852 Cd
0.050 0.402 0.344 Pb
0.950 0.598 0.656 Pb
```

Values from the calculation:
Magnetic moment = 0.000 μB/atom
DFT formation energy = 0.039 eV per atom



7.
NiHgRh2 after structural relaxation. Source: the Alexandria database, functional PBE-GGA.

POSCAR file:
```
NiHgRh2
1.0
-1.965 1.965 3.928
1.965 -1.965 3.928
1.965 1.965 -3.928
Ni Hg Rh
1 1 2
direct
0.000 0.000 0.000 Ni
0.500 0.500 0.000 Hg
0.250 0.750 0.500 Rh
0.750 0.250 0.500 Rh
```

Values from the calculation:
Magnetic moment = 0.493 μB/atom
DFT formation energy = 0.237 eV per atom



8.
Na3Tm2ScSe6 after structural relaxation. Source: the Alexandria database, functional PBE-GGA.

POSCAR file:
```
Na3Tm2ScSe6
1.0
3.503 -6.068 0.000
3.503 6.068 0.000
-2.338 0.000 6.988
Na Tm Sc Se
3 2 1 6
direct
0.000 0.000 0.000 Na
0.332 0.668 0.000 Na
0.668 0.332 0.000 Na
0.166 0.834 0.500 Tm
0.834 0.166 0.500 Tm
0.500 0.500 0.500 Sc
0.101 0.425 0.276 Se
0.250 0.250 0.724 Se
0.425 0.101 0.276 Se
0.575 0.899 0.724 Se
0.750 0.750 0.276 Se
0.899 0.575 0.724 Se
```

Values from the calculation:
Magnetic moment = 0.000 μB/atom
Raw formation energy = -1659 meV per atom



9.
PuPaTc2 after structural relaxation. Source: the Alexandria database, functional PBE-GGA.

POSCAR file:
```
PuPaTc2
1.0
4.791 0.000 0.000
0.000 4.791 0.000
0.000 0.000 3.447
Pu Pa Tc
1 1 2
direct
0.000 0.000 0.000 Pu
0.500 0.500 0.000 Pa
0.000 0.500 0.500 Tc
0.500 0.000 0.500 Tc
```

Values from the calculation:
Magnetic moment = 1.076 μB/atom
DFT formation energy = -0.051 eV per atom



10.
Rb3Tl4Te4 after structural relaxation. Source: the Alexandria database, functional PBE-GGA.

POSCAR file:
```
Rb3Tl4Te4
1.0
-2.467 2.616 18.512
2.467 -2.616 18.512
2.467 2.616 -18.512
Rb Tl Te
3 4 4
direct
0.000 0.000 0.000 Rb
0.153 0.653 0.500 Rb
0.847 0.347 0.500 Rb
0.250 0.250 0.000 Tl
0.404 0.904 0.500 Tl
0.596 0.096 0.500 Tl
0.750 0.750 0.000 Tl
0.313 0.813 0.500 Te
0.454 0.454 0.000 Te
0.546 0.546 0.000 Te
0.687 0.187 0.500 Te
```

Values from the calculation:
Magnetic moment = 0.000 μB/atom
Raw formation energy = -522 meV per atom



11.
YCd2Co2 after structural relaxation. Source: the Alexandria database, functional PBE-GGA.

POSCAR file:
```
YCd2Co2
1.0
-1.925 1.925 6.545
1.925 -1.925 6.545
1.925 1.925 -6.545
Y Cd Co
1 2 2
direct
0.000 0.000 0.000 Y
0.387 0.387 0.000 Cd
0.613 0.613 0.000 Cd
0.250 0.750 0.500 Co
0.750 0.250 0.500 Co
```

Values from the calculation:
Magnetic moment = 0.597 μB/atom
DFT formation energy = 0.243 eV per atom



12.
BaRhBr2 after structural relaxation. Source: the Alexandria database, functional PBE-GGA.

POSCAR file:
```
BaRhBr2
1.0
0.000 3.787 3.787
3.787 0.000 3.787
3.787 3.787 0.000
Ba Rh Br
1 1 2
direct
0.000 0.000 0.000 Ba
0.500 0.500 0.500 Rh
0.250 0.250 0.250 Br
0.750 0.750 0.750 Br
```

Values from the calculation:
Magnetic moment = 0.252 μB/atom
Raw formation energy = -647 meV per atom